(1)
This record from Alexandria describes an optimized crystal structure of TbMgAl2Cu4. The functional is PBE.

It has space group R-3m (No. 166, hexagonal axes), with a = 4.2419 Å, b = 4.2419 Å, c = 25.1585 Å, α = 90.00°, β = 90.00° and γ = 120.00°. The inequivalent atoms are Tb at (0.0000, 0.0000, 0.0000), Mg at (0.0000, 0.0000, 0.5000), Al at (0.0000, 0.0000, 0.2436), Cu at (0.0000, 0.0000, 0.1191) and Cu at (0.0000, 0.0000, 0.3997).

Its energy of formation is -251 meV per atom.

(2)
This record from Alexandria describes an optimized crystal structure of CrAg2Te. The functional is PBE.

It has space group P4/mmm (No. 123), with a = 4.063 Å, b = 4.063 Å, c = 4.832 Å, α = 90.00°, β = 90.00° and γ = 90.00°. The inequivalent atoms are Cr at (0.000, 0.000, 0.000), Ag at (0.000, 0.500, 0.500) and Te at (0.500, 0.500, 0.000).

The uncorrected formation energy comes out at 0.19 eV/atom.

(3)
This record from Alexandria describes an optimized crystal structure of BaBi. The functional is PBE.

It has space group Fddd (No. 70, origin choice 2), with a = 4.820 Å, b = 15.931 Å, c = 18.677 Å, α = 90.00°, β = 90.00° and γ = 90.00°. The inequivalent atoms are Ba at (0.125, 0.125, 0.002) and Bi at (0.125, 0.028, 0.625).

Its energy of formation is -765 meV per atom.

(4)
This record from Alexandria describes an optimized crystal structure of TeMo2As. The functional is PBE.

It has space group P4/mmm (No. 123), with a = 4.566 Å, b = 4.566 Å, c = 3.248 Å, α = 90.00°, β = 90.00° and γ = 90.00°. The inequivalent atoms are Te at (0.000, 0.000, 0.000), Mo at (0.000, 0.500, 0.500) and As at (0.500, 0.500, 0.000).

As for the energy above the most stable polymorph in this dataset: 143 meV per atom. The uncorrected formation energy comes out at 0.20 eV/atom.

(5)
This record from Alexandria describes an optimized crystal structure of GaBS2. The functional is PBE.

It has space group Fm-3m (No. 225), with a = 6.176 Å, b = 6.176 Å, c = 6.176 Å, α = 90.00°, β = 90.00° and γ = 90.00°. The inequivalent atoms are Ga at (0.000, 0.000, 0.000), B at (0.000, 0.000, 0.500) and S at (0.250, 0.250, 0.250).

The uncorrected formation energy comes out at 1.00 eV/atom.

(6)
This record from Alexandria describes an optimized crystal structure of ReIrOs2. The functional is PBE.

It has space group I-42d (No. 122), with a = 5.571 Å, b = 5.571 Å, c = 11.227 Å, α = 90.00°, β = 90.00° and γ = 90.00°. The inequivalent atoms are Re at (0.000, 0.000, 0.000), Ir at (0.000, 0.000, 0.500) and Os at (0.247, 0.250, 0.625).

Its energy of formation is 1200 meV per atom. As for the energy above the most stable polymorph in this dataset: 1314 meV per atom.

(7)
This record from Alexandria describes an optimized crystal structure of PmSmSnCl. The functional is PBE.

It has space group F-43m (No. 216), with a = 7.552 Å, b = 7.552 Å, c = 7.552 Å, α = 90.00°, β = 90.00° and γ = 90.00°. The inequivalent atoms are Pm at (0.000, 0.000, 0.000), Sm at (0.000, 0.000, 0.500), Sn at (0.250, 0.250, 0.750) and Cl at (0.250, 0.250, 0.250).

The uncorrected formation energy comes out at -0.97 eV/atom.

(8)
This record from Alexandria describes an optimized crystal structure of K2SrAl2. The functional is PBE.

It has space group P4/mbm (No. 127), with a = 8.378 Å, b = 8.378 Å, c = 5.945 Å, α = 90.00°, β = 90.00° and γ = 90.00°. The inequivalent atoms are K at (0.170, 0.330, 0.000), Sr at (0.000, 0.000, 0.500) and Al at (0.108, 0.608, 0.500).

Its energy of formation is 260 meV per atom.

(9)
This record from Alexandria describes an optimized crystal structure of NaSr2CdPt. The functional is PBE.

It has space group P4/mmm (No. 123), with a = 5.896 Å, b = 5.896 Å, c = 5.350 Å, α = 90.00°, β = 90.00° and γ = 90.00°. The inequivalent atoms are Na at (0.000, 0.000, 0.000), Sr at (0.000, 0.500, 0.500), Cd at (0.500, 0.500, 0.000) and Pt at (0.500, 0.500, 0.500).

Its energy of formation is -391 meV per atom. As for the energy above the most stable polymorph in this dataset: 0 meV per atom.

(10)
This record from Alexandria describes an optimized crystal structure of CuRh2Br. The functional is PBE.

It has space group P4/mmm (No. 123), with a = 3.120 Å, b = 3.120 Å, c = 6.248 Å, α = 90.00°, β = 90.00° and γ = 90.00°. The inequivalent atoms are Cu at (0.000, 0.000, 0.000), Rh at (0.500, 0.500, 0.226) and Br at (0.000, 0.000, 0.500).

As for the energy above the most stable polymorph in this dataset: 115 meV per atom. The uncorrected formation energy comes out at 0.44 eV/atom.

(11)
This record from Alexandria describes an optimized crystal structure of Pr2TmH12Rh3. The functional is PBE.

It has space group R-3m (No. 166, hexagonal axes), with a = 6.6059 Å, b = 6.6059 Å, c = 14.1910 Å, α = 90.00°, β = 90.00° and γ = 120.00°. The inequivalent atoms are Pr at (0.0000, 0.0000, 0.1163), Tm at (0.0000, 0.0000, 0.5000), H at (0.0245, 0.5122, 0.8810), H at (0.0583, 0.5291, 0.3208) and Rh at (0.0000, 0.5000, 0.0000).

The calculated total energy is -4.629 eV/atom.

(12)
This record from Alexandria describes an optimized crystal structure of Li2DyPd8. The functional is PBE.

It has space group C2/m (No. 12), with a = 14.205 Å, b = 4.033 Å, c = 6.356 Å, α = 90.00°, β = 107.13° and γ = 90.00°. The inequivalent atoms are Li at (0.228, 0.000, 0.147), Dy at (0.000, 0.500, 0.500), Pd at (0.048, 0.000, 0.223), Pd at (0.096, 0.500, 0.969), Pd at (0.144, 0.000, 0.703) and Pd at (0.185, 0.500, 0.417).

Its energy of formation is -459 meV per atom.